First-principles (PBE-GGA) data for a relaxed ZnBPS2 crystal, as listed in Alexandria via LeMat-Bulk.

Output
As for the crystal system: tetragonal. The uncorrected formation energy comes out at 1.551 eV/atom. Its total magnetization is 0.00 Bohr magnetons per cell.

```
data_ZnBPS2
_cell_length_a 4.7330
_cell_length_b 4.7330
_cell_length_c 4.5227
_cell_angle_alpha 90.00
_cell_angle_beta 90.00
_cell_angle_gamma 90.00
_symmetry_space_group_name_H-M 'P 1'
_symmetry_Int_Tables_number 1
loop_
_symmetry_equiv_pos_as_xyz
'x,y,z'
loop_
_atom_site_label
_atom_site_type_symbol
_atom_site_fract_x
_atom_site_fract_y
_atom_site_fract_z
Zn1 Zn 0.0000 0.0000 0.0000
B1 B 0.5000 0.5000 0.5000
P1 P 0.0000 0.0000 0.5000
S1 S 0.0000 0.5000 0.0000
S2 S 0.5000 0.0000 0.0000
```


First-principles (PBE-GGA) data for a relaxed Y2ErH crystal, as listed in Alexandria via LeMat-Bulk.

Output
As for the crystal system: trigonal. The final energy comes out at -0.1985 hartree per atom. Its total magnetization is 0.00 Bohr magnetons per cell.

```
data_Y2ErH
_cell_length_a 8.7240
_cell_length_b 8.7240
_cell_length_c 8.7240
_cell_angle_alpha 23.80
_cell_angle_beta 23.80
_cell_angle_gamma 23.80
_symmetry_space_group_name_H-M 'P 1'
_symmetry_Int_Tables_number 1
loop_
_symmetry_equiv_pos_as_xyz
'x,y,z'
loop_
_atom_site_label
_atom_site_type_symbol
_atom_site_fract_x
_atom_site_fract_y
_atom_site_fract_z
Y1 Y 0.2210 0.2210 0.2210
Y2 Y 0.7790 0.7790 0.7790
Er1 Er 0.0000 0.0000 0.0000
H1 H 0.5000 0.5000 0.5000
```


First-principles (PBE-GGA) data for a relaxed Sc4SbSe2 crystal, as listed in Alexandria via LeMat-Bulk.

Output
As for the crystal system: orthorhombic. The uncorrected formation energy comes out at -1.212 eV/atom. Its total magnetization is 0.00 Bohr magnetons per cell.

```
data_Sc4SbSe2
_cell_length_a 6.5838
_cell_length_b 6.5838
_cell_length_c 12.7755
_cell_angle_alpha 90.00
_cell_angle_beta 90.00
_cell_angle_gamma 145.47
_symmetry_space_group_name_H-M 'P 1'
_symmetry_Int_Tables_number 1
loop_
_symmetry_equiv_pos_as_xyz
'x,y,z'
loop_
_atom_site_label
_atom_site_type_symbol
_atom_site_fract_x
_atom_site_fract_y
_atom_site_fract_z
Sc1 Sc 0.0000 0.0000 0.0000
Sc2 Sc 0.0000 0.0000 0.5000
Sc3 Sc 0.2689 0.7311 0.6246
Sc4 Sc 0.2689 0.7311 0.8754
Sc5 Sc 0.4325 0.5675 0.2500
Sc6 Sc 0.5675 0.4325 0.7500
Sc7 Sc 0.7311 0.2689 0.1246
Sc8 Sc 0.7311 0.2689 0.3754
Sb1 Sb 0.1029 0.8971 0.2500
Sb2 Sb 0.8971 0.1029 0.7500
Se1 Se 0.3639 0.6361 0.0582
Se2 Se 0.3639 0.6361 0.4418
Se3 Se 0.6361 0.3639 0.5582
Se4 Se 0.6361 0.3639 0.9418
```


First-principles (PBE-GGA) data for a relaxed TbDy3Rh4 crystal, as listed in Alexandria via LeMat-Bulk.

Output
As for the crystal system: tetragonal. The final energy comes out at -0.2516 hartree per atom. Its total magnetization is 0.00 Bohr magnetons per cell.

```
data_TbDy3Rh4
_cell_length_a 4.8849
_cell_length_b 4.8849
_cell_length_c 6.7573
_cell_angle_alpha 90.00
_cell_angle_beta 90.00
_cell_angle_gamma 90.00
_symmetry_space_group_name_H-M 'P 1'
_symmetry_Int_Tables_number 1
loop_
_symmetry_equiv_pos_as_xyz
'x,y,z'
loop_
_atom_site_label
_atom_site_type_symbol
_atom_site_fract_x
_atom_site_fract_y
_atom_site_fract_z
Tb1 Tb 0.0000 0.0000 0.0000
Dy1 Dy 0.0000 0.0000 0.5000
Dy2 Dy 0.5000 0.5000 0.0000
Dy3 Dy 0.5000 0.5000 0.5000
Rh1 Rh 0.0000 0.5000 0.2506
Rh2 Rh 0.0000 0.5000 0.7494
Rh3 Rh 0.5000 0.0000 0.2506
Rh4 Rh 0.5000 0.0000 0.7494
```


First-principles (PBE-GGA) data for a relaxed TcAs2BrF crystal, as listed in Alexandria via LeMat-Bulk.

Output
As for the crystal system: tetragonal. The uncorrected formation energy comes out at 0.119 eV/atom. Its total magnetization is 0.00 Bohr magnetons per cell.

```
data_TcAs2BrF
_cell_length_a 4.7392
_cell_length_b 4.7392
_cell_length_c 5.1342
_cell_angle_alpha 90.00
_cell_angle_beta 90.00
_cell_angle_gamma 90.00
_symmetry_space_group_name_H-M 'P 1'
_symmetry_Int_Tables_number 1
loop_
_symmetry_equiv_pos_as_xyz
'x,y,z'
loop_
_atom_site_label
_atom_site_type_symbol
_atom_site_fract_x
_atom_site_fract_y
_atom_site_fract_z
Tc1 Tc 0.0000 0.0000 0.0000
As1 As 0.0000 0.5000 0.0000
As2 As 0.5000 0.0000 0.0000
Br1 Br 0.0000 0.0000 0.5000
F1 F 0.5000 0.5000 0.5000
```


First-principles (PBE-GGA) data for a relaxed InRe2C crystal, as listed in Alexandria via LeMat-Bulk.

Output
As for the crystal system: tetragonal. The final energy comes out at -0.2968 hartree per atom. Its total magnetization is 0.00 Bohr magnetons per cell.

```
data_InRe2C
_cell_length_a 7.0353
_cell_length_b 7.0353
_cell_length_c 7.0353
_cell_angle_alpha 138.85
_cell_angle_beta 138.85
_cell_angle_gamma 59.60
_symmetry_space_group_name_H-M 'P 1'
_symmetry_Int_Tables_number 1
loop_
_symmetry_equiv_pos_as_xyz
'x,y,z'
loop_
_atom_site_label
_atom_site_type_symbol
_atom_site_fract_x
_atom_site_fract_y
_atom_site_fract_z
In1 In 0.0000 0.0000 0.0000
In2 In 0.7500 0.2500 0.5000
Re1 Re 0.2935 0.6250 0.1685
Re2 Re 0.3750 0.5435 0.6685
Re3 Re 0.4565 0.1250 0.8315
Re4 Re 0.8750 0.7065 0.3315
C1 C 0.2500 0.7500 0.5000
C2 C 0.5000 0.5000 0.0000
```


First-principles (PBE-GGA) data for a relaxed CeTm2Te2 crystal, as listed in Alexandria via LeMat-Bulk.

Output
As for the crystal system: monoclinic. The uncorrected formation energy comes out at -0.758 eV/atom. Its total magnetization is 2.41 Bohr magnetons per cell.

```
data_CeTm2Te2
_cell_length_a 7.8717
_cell_length_b 7.8717
_cell_length_c 5.9635
_cell_angle_alpha 109.80
_cell_angle_beta 109.80
_cell_angle_gamma 98.68
_symmetry_space_group_name_H-M 'P 1'
_symmetry_Int_Tables_number 1
loop_
_symmetry_equiv_pos_as_xyz
'x,y,z'
loop_
_atom_site_label
_atom_site_type_symbol
_atom_site_fract_x
_atom_site_fract_y
_atom_site_fract_z
Ce1 Ce 0.0998 0.9002 0.7500
Ce2 Ce 0.9002 0.0998 0.2500
Tm1 Tm 0.2193 0.3970 0.0174
Tm2 Tm 0.3970 0.2193 0.5174
Tm3 Tm 0.6030 0.7807 0.4826
Tm4 Tm 0.7807 0.6030 0.9826
Te1 Te 0.1927 0.8073 0.2500
Te2 Te 0.3789 0.6211 0.7500
Te3 Te 0.6211 0.3789 0.2500
Te4 Te 0.8073 0.1927 0.7500
```


First-principles (PBE-GGA) data for a relaxed Li8Sn6Hg crystal, as listed in Alexandria via LeMat-Bulk.

Output
As for the crystal system: trigonal. The final energy comes out at -0.1058 hartree per atom. Its total magnetization is 0.00 Bohr magnetons per cell.

```
data_Li8Sn6Hg
_cell_length_a 7.1861
_cell_length_b 7.1861
_cell_length_c 7.1861
_cell_angle_alpha 69.24
_cell_angle_beta 69.24
_cell_angle_gamma 69.24
_symmetry_space_group_name_H-M 'P 1'
_symmetry_Int_Tables_number 1
loop_
_symmetry_equiv_pos_as_xyz
'x,y,z'
loop_
_atom_site_label
_atom_site_type_symbol
_atom_site_fract_x
_atom_site_fract_y
_atom_site_fract_z
Li1 Li 0.1247 0.6370 0.4343
Li2 Li 0.2352 0.2352 0.2352
Li3 Li 0.3630 0.5657 0.8753
Li4 Li 0.4343 0.1247 0.6370
Li5 Li 0.5657 0.8753 0.3630
Li6 Li 0.6370 0.4343 0.1247
Li7 Li 0.7648 0.7648 0.7648
Li8 Li 0.8753 0.3630 0.5657
Sn1 Sn 0.0631 0.3421 0.8712
Sn2 Sn 0.1288 0.9369 0.6579
Sn3 Sn 0.3421 0.8712 0.0631
Sn4 Sn 0.6579 0.1288 0.9369
Sn5 Sn 0.8712 0.0631 0.3421
Sn6 Sn 0.9369 0.6579 0.1288
Hg1 Hg 0.5000 0.5000 0.5000
```


First-principles (PBE-GGA) data for a relaxed HgPb2Br crystal, as listed in Alexandria via LeMat-Bulk.

Output
As for the crystal system: tetragonal. The uncorrected formation energy comes out at -0.108 eV/atom. Its total magnetization is 0.00 Bohr magnetons per cell.

```
data_HgPb2Br
_cell_length_a 11.8096
_cell_length_b 11.8096
_cell_length_c 11.8096
_cell_angle_alpha 156.52
_cell_angle_beta 156.52
_cell_angle_gamma 33.44
_symmetry_space_group_name_H-M 'P 1'
_symmetry_Int_Tables_number 1
loop_
_symmetry_equiv_pos_as_xyz
'x,y,z'
loop_
_atom_site_label
_atom_site_type_symbol
_atom_site_fract_x
_atom_site_fract_y
_atom_site_fract_z
Hg1 Hg 0.0000 0.0000 0.0000
Hg2 Hg 0.7500 0.2500 0.5000
Pb1 Pb 0.1320 0.6250 0.0070
Pb2 Pb 0.3750 0.3820 0.5070
Pb3 Pb 0.6180 0.1250 0.9930
Pb4 Pb 0.8750 0.8680 0.4930
Br1 Br 0.2500 0.7500 0.5000
Br2 Br 0.5000 0.5000 0.0000
```


First-principles (PBE-GGA) data for a relaxed NdNi8Ir2 crystal, as listed in Alexandria via LeMat-Bulk.

Output
As for the crystal system: tetragonal. The final energy comes out at -0.2117 hartree per atom. Its total magnetization is 0.76 Bohr magnetons per cell.

```
data_NdNi8Ir2
_cell_length_a 4.7112
_cell_length_b 4.7112
_cell_length_c 8.3639
_cell_angle_alpha 90.00
_cell_angle_beta 90.00
_cell_angle_gamma 90.00
_symmetry_space_group_name_H-M 'P 1'
_symmetry_Int_Tables_number 1
loop_
_symmetry_equiv_pos_as_xyz
'x,y,z'
loop_
_atom_site_label
_atom_site_type_symbol
_atom_site_fract_x
_atom_site_fract_y
_atom_site_fract_z
Nd1 Nd 0.0000 0.0000 0.0000
Ni1 Ni 0.2515 0.2515 0.2824
Ni2 Ni 0.2515 0.2515 0.7176
Ni3 Ni 0.2515 0.7485 0.2824
Ni4 Ni 0.2515 0.7485 0.7176
Ni5 Ni 0.7485 0.2515 0.2824
Ni6 Ni 0.7485 0.2515 0.7176
Ni7 Ni 0.7485 0.7485 0.2824
Ni8 Ni 0.7485 0.7485 0.7176
Ir1 Ir 0.0000 0.5000 0.5000
Ir2 Ir 0.5000 0.0000 0.5000
```


First-principles (PBE-GGA) data for a relaxed Sc2SbTe2 crystal, as listed in Alexandria via LeMat-Bulk.

Output
As for the crystal system: tetragonal. The uncorrected formation energy comes out at -0.868 eV/atom. Its total magnetization is 0.00 Bohr magnetons per cell.

```
data_Sc2SbTe2
_cell_length_a 8.1537
_cell_length_b 8.1537
_cell_length_c 3.7702
_cell_angle_alpha 90.00
_cell_angle_beta 90.00
_cell_angle_gamma 90.00
_symmetry_space_group_name_H-M 'P 1'
_symmetry_Int_Tables_number 1
loop_
_symmetry_equiv_pos_as_xyz
'x,y,z'
loop_
_atom_site_label
_atom_site_type_symbol
_atom_site_fract_x
_atom_site_fract_y
_atom_site_fract_z
Sc1 Sc 0.1539 0.3461 0.0000
Sc2 Sc 0.3461 0.8461 0.0000
Sc3 Sc 0.6539 0.1539 0.0000
Sc4 Sc 0.8461 0.6539 0.0000
Sb1 Sb 0.0000 0.0000 0.0000
Sb2 Sb 0.5000 0.5000 0.0000
Te1 Te 0.1431 0.6431 0.5000
Te2 Te 0.3569 0.1431 0.5000
Te3 Te 0.6431 0.8569 0.5000
Te4 Te 0.8569 0.3569 0.5000
```


- What is the total magnetization in the seventh record?
  2.41 Bohr magnetons per cell


- Which value of total magnetization does entry 7 give?
  2.41 Bohr magnetons per cell


Copy entry 10 word for word.
First-principles (PBE-GGA) data for a relaxed NdNi8Ir2 crystal, as listed in Alexandria via LeMat-Bulk.

Output
As for the crystal system: tetragonal. The final energy comes out at -0.2117 hartree per atom. Its total magnetization is 0.76 Bohr magnetons per cell.

```
data_NdNi8Ir2
_cell_length_a 4.7112
_cell_length_b 4.7112
_cell_length_c 8.3639
_cell_angle_alpha 90.00
_cell_angle_beta 90.00
_cell_angle_gamma 90.00
_symmetry_space_group_name_H-M 'P 1'
_symmetry_Int_Tables_number 1
loop_
_symmetry_equiv_pos_as_xyz
'x,y,z'
loop_
_atom_site_label
_atom_site_type_symbol
_atom_site_fract_x
_atom_site_fract_y
_atom_site_fract_z
Nd1 Nd 0.0000 0.0000 0.0000
Ni1 Ni 0.2515 0.2515 0.2824
Ni2 Ni 0.2515 0.2515 0.7176
Ni3 Ni 0.2515 0.7485 0.2824
Ni4 Ni 0.2515 0.7485 0.7176
Ni5 Ni 0.7485 0.2515 0.2824
Ni6 Ni 0.7485 0.2515 0.7176
Ni7 Ni 0.7485 0.7485 0.2824
Ni8 Ni 0.7485 0.7485 0.7176
Ir1 Ir 0.0000 0.5000 0.5000
Ir2 Ir 0.5000 0.0000 0.5000
```